[1]
A plane-wave DFT calculation with PBE was carried out for a relaxed Mn2Au crystal.

Cell lengths 5.917, 5.917, 5.917 Å; angles 90.00, 90.00, 90.00 degrees
Fractional coordinates of all 12 atoms:
Mn1 0.092 0.092 0.092
Mn2 0.092 0.408 0.592
Mn3 0.408 0.592 0.092
Mn4 0.408 0.908 0.592
Mn5 0.592 0.092 0.408
Mn6 0.592 0.408 0.908
Mn7 0.908 0.592 0.408
Mn8 0.908 0.908 0.908
Au1 0.000 0.000 0.500
Au2 0.000 0.500 0.000
Au3 0.500 0.000 0.000
Au4 0.500 0.500 0.500

Properties
The value obtained for the density of states at the Fermi level is 1.67 states/eV/atom. The calculation puts the energy relative to the elements at 1.063 eV per atom.



[2]
A plane-wave DFT calculation with PBE was carried out for a relaxed ScTiCoOs crystal.

Cell lengths 3.110, 3.110, 6.195 Å; angles 90.00, 90.00, 90.00 degrees
Fractional coordinates of all 4 atoms:
Sc1 0.000 0.000 0.000
Ti1 0.000 0.000 0.489
Co1 0.500 0.500 0.260
Os1 0.500 0.500 0.724

Properties
The value obtained for the density of states at the Fermi level is 0.33 states/eV/atom. The calculation puts the energy relative to the elements at -0.496 eV per atom.